Entry 1:
Compound: Nd9TlIn2
Source: Alexandria via LeMat-Bulk
Functional: PBE
Structure: optimized geometry

Cell: 4.990 4.990 14.970 Å, 90.00 90.00 90.00°
Space group P4/mmm (No. 123)
Asymmetric unit:
1 Nd 0.000 0.000 0.000 x1
2 Nd 0.000 0.000 0.334 x2
3 Nd 0.000 0.500 0.168 x4
4 Nd 0.000 0.500 0.500 x2
5 Tl 0.500 0.500 0.000 x1
6 In 0.500 0.500 0.333 x2

Computed properties:
energy of formation from the pure elements: -0.251 eV/atom
calculated total energy: -4.481 eV per atom

Entry 2:
Compound: Na6BrO3
Source: Alexandria via LeMat-Bulk
Functional: PBE
Structure: optimized geometry

Cell: 8.434 13.954 6.400 Å, 90.00 90.00 90.00°
Space group Cmc2_1 (No. 36)
Asymmetric unit:
1 Na 0.000 0.011 0.000 x4
2 Na 0.000 0.192 0.716 x4
3 Na 0.188 0.347 0.459 x8
4 Na 0.193 0.428 0.906 x8
5 Br 0.000 0.204 0.216 x4
6 O 0.000 0.359 0.705 x4
7 O 0.178 0.062 0.730 x8

Computed properties:
calculated total energy: -3.610 eV per atom
uncorrected formation energy: -1.163 eV/atom

Entry 3:
Compound: CeNd8Sm6
Source: Alexandria via LeMat-Bulk
Functional: PBE
Structure: optimized geometry

Cell: 9.2594 9.2594 21.0264 Å, 90.00 90.00 120.00°
Space group R-3 (No. 148, hexagonal axes)
Asymmetric unit:
1 Ce 0.0000 0.0000 0.0000 x3
2 Nd 0.0000 0.0000 0.4222 x6
3 Nd 0.0805 0.5601 0.8052 x18
4 Sm 0.0534 0.2471 0.7072 x18

Computed properties:
energy of formation from the pure elements: 0.121 eV/atom
calculated total energy: -4.705 eV per atom

Entry 4:
Compound: FeTc3B
Source: Alexandria via LeMat-Bulk
Functional: PBE
Structure: optimized geometry

Cell: 4.354 4.354 4.354 Å, 90.00 90.00 90.00°
Space group Pm-3m (No. 221)
Asymmetric unit:
1 Fe 0.000 0.000 0.000 x1
2 Tc 0.000 0.000 0.500 x3
3 B 0.500 0.500 0.500 x1

Computed properties:
energy of formation from the pure elements: 2.034 eV/atom
calculated total energy: -7.214 eV per atom
energy relative to the lowest polymorph listed for this composition: 2.109 eV per atom